(1)
VASP calculation (PBE) on a relaxed AgHO crystal.

The energy above the most stable polymorph in this dataset comes out at 0.0000 eV per atom.

Cell: 5.5757 5.5757 5.5983 Å, 90.00 90.00 120.00°
Atoms (fractional coordinates):
1 Ag 0.1865 0.3934 0.0000
2 Ag 0.2069 0.8135 0.3333
3 Ag 0.6066 0.7931 0.6667
4 H 0.5500 0.2250 0.6216
5 H 0.6750 0.4500 0.9549
6 H 0.7750 0.3250 0.2882
7 O 0.5348 0.4187 0.8254
8 O 0.5813 0.1162 0.4920
9 O 0.8838 0.4652 0.1587

=====

(2)
VASP calculation (PBE) on a relaxed AgH3O crystal.

The energy above the most stable polymorph in this dataset comes out at 0.0000 eV per atom.

Cell: 3.3404 3.3404 3.3404 Å, 90.00 90.00 90.00°
Atoms (fractional coordinates):
1 Ag 0.0000 0.0000 0.0000
2 H 0.0000 0.5000 0.5000
3 H 0.5000 0.0000 0.5000
4 H 0.5000 0.5000 0.0000
5 O 0.5000 0.5000 0.5000

=====

(3)
VASP calculation (PBE) on a relaxed AgHO2 crystal.

As for the total energy: -4.26 eV/atom.

Cell: 4.7626 4.7626 4.7626 Å, 41.44 41.44 41.44°
Atoms (fractional coordinates):
1 Ag 0.0000 0.0000 0.0000
2 H 0.5000 0.5000 0.5000
3 O 0.4079 0.4079 0.4079
4 O 0.5921 0.5921 0.5921

=====

(4)
VASP calculation (PBE) on a relaxed AgH9O5 crystal.

As for the total energy: -4.76 eV/atom.

Cell: 5.9599 7.3012 12.5033 Å, 90.00 90.00 90.00°
Atoms (fractional coordinates):
1 Ag 0.0974 0.1192 0.2500
2 Ag 0.4026 0.8808 0.7500
3 Ag 0.5974 0.3808 0.7500
4 Ag 0.9026 0.6192 0.2500
5 H 0.0895 0.9159 0.4530
6 H 0.1160 0.9075 0.0543
7 H 0.1321 0.0340 0.5923
8 H 0.1439 0.3286 0.9178
9 H 0.1492 0.3189 0.5879
10 H 0.1605 0.0380 0.9119
11 H 0.1850 0.5446 0.6948
12 H 0.1908 0.5414 0.8275
13 H 0.2233 0.4895 0.5134
14 H 0.2767 0.5105 0.0134
15 H 0.3092 0.4586 0.3275
16 H 0.3150 0.4554 0.1948
17 H 0.3395 0.9620 0.4119
18 H 0.3508 0.6811 0.0879
19 H 0.3561 0.6714 0.4178
20 H 0.3679 0.9660 0.0923
21 H 0.3840 0.0925 0.5543
22 H 0.4105 0.0841 0.9530
23 H 0.5895 0.5841 0.5470
24 H 0.6160 0.5925 0.9457
25 H 0.6321 0.4660 0.4077
26 H 0.6439 0.1714 0.0822
27 H 0.6492 0.1811 0.4121
28 H 0.6605 0.4620 0.0881
29 H 0.6850 0.9554 0.3052
30 H 0.6908 0.9586 0.1725
31 H 0.7233 0.0105 0.4866
32 H 0.7767 0.9895 0.9866
33 H 0.8092 0.0414 0.6725
34 H 0.8150 0.0446 0.8052
35 H 0.8395 0.5380 0.5881
36 H 0.8508 0.8189 0.9121
37 H 0.8561 0.8286 0.5822
38 H 0.8679 0.5340 0.9077
39 H 0.8840 0.4075 0.4457
40 H 0.9105 0.4159 0.0470
41 O 0.0987 0.4445 0.5674
42 O 0.0993 0.4546 0.9364
43 O 0.1973 0.8981 0.3925
44 O 0.2250 0.8946 0.1132
45 O 0.2303 0.4138 0.2589
46 O 0.2697 0.5862 0.7589
47 O 0.2750 0.1054 0.6132
48 O 0.3027 0.1019 0.8925
49 O 0.4007 0.5454 0.4364
50 O 0.4013 0.5555 0.0674
51 O 0.5993 0.0454 0.0636
52 O 0.5987 0.0555 0.4326
53 O 0.6973 0.6019 0.6075
54 O 0.7250 0.6054 0.8868
55 O 0.7303 0.0862 0.7411
56 O 0.7697 0.9138 0.2411
57 O 0.7750 0.3946 0.3868
58 O 0.8027 0.3981 0.1075
59 O 0.9013 0.9445 0.9326
60 O 0.9007 0.9546 0.5636

=====

(5)
VASP calculation (PBE) on a relaxed AgH3O2 crystal.

As for the total energy: -4.54 eV/atom.

Cell: 6.0903 12.4994 6.2313 Å, 90.00 90.00 90.00°
Atoms (fractional coordinates):
1 Ag 0.0914 0.0738 0.1561
2 Ag 0.0914 0.4262 0.6561
3 Ag 0.4086 0.5738 0.1561
4 Ag 0.4086 0.9262 0.6561
5 Ag 0.5914 0.0738 0.3439
6 Ag 0.5914 0.4262 0.8439
7 Ag 0.9086 0.5738 0.3439
8 Ag 0.9086 0.9262 0.8439
9 H 0.0030 0.6410 0.9319
10 H 0.0030 0.8590 0.4319
11 H 0.1845 0.6406 0.7360
12 H 0.1845 0.8594 0.2360
13 H 0.2157 0.7053 0.4422
14 H 0.2157 0.7947 0.9422
15 H 0.2843 0.2053 0.4422
16 H 0.2843 0.2947 0.9422
17 H 0.3155 0.1406 0.7360
18 H 0.3155 0.3594 0.2360
19 H 0.4970 0.1410 0.9319
20 H 0.4970 0.3590 0.4319
21 H 0.5030 0.6410 0.5681
22 H 0.5030 0.8590 0.0681
23 H 0.6845 0.6406 0.7640
24 H 0.6845 0.8594 0.2640
25 H 0.7157 0.7053 0.0578
26 H 0.7157 0.7947 0.5578
27 H 0.7843 0.2053 0.0578
28 H 0.7843 0.2947 0.5578
29 H 0.8155 0.1406 0.7640
30 H 0.8155 0.3594 0.2640
31 H 0.9970 0.1410 0.5681
32 H 0.9970 0.3590 0.0681
33 O 0.1616 0.6554 0.8940
34 O 0.1616 0.8446 0.3940
35 O 0.2476 0.6290 0.4771
36 O 0.2476 0.8710 0.9771
37 O 0.2524 0.1290 0.4771
38 O 0.2524 0.3710 0.9771
39 O 0.3384 0.1554 0.8940
40 O 0.3384 0.3446 0.3940
41 O 0.6616 0.6554 0.6060
42 O 0.6616 0.8446 0.1060
43 O 0.7476 0.6290 0.0229
44 O 0.7476 0.8710 0.5229
45 O 0.7524 0.1290 0.0229
46 O 0.7524 0.3710 0.5229
47 O 0.8384 0.1554 0.6060
48 O 0.8384 0.3446 0.1060

=====

(6)
VASP calculation (PBE) on a relaxed Ag2HO2 crystal.

As for the total energy: -4.05 eV/atom.

Cell: 6.1260 6.1260 6.1260 Å, 149.42 149.42 43.80°
Atoms (fractional coordinates):
1 Ag 0.1336 0.1336 0.0000
2 Ag 0.8664 0.8664 0.0000
3 H 0.5000 0.5000 0.0000
4 O 0.3912 0.3912 0.0000
5 O 0.6088 0.6088 0.0000

=====

(7)
VASP calculation (PBE) on a relaxed AgH4O2 crystal.

As for the total energy: -4.26 eV/atom.

Cell: 8.2290 8.2290 3.0381 Å, 90.00 90.00 90.00°
Atoms (fractional coordinates):
1 Ag 0.0000 0.0000 0.0000
2 Ag 0.5000 0.5000 0.5000
3 H 0.1388 0.2695 0.5000
4 H 0.2305 0.6388 0.0000
5 H 0.2695 0.1388 0.5000
6 H 0.3612 0.7695 0.0000
7 H 0.6388 0.2305 0.0000
8 H 0.7305 0.8612 0.5000
9 H 0.7695 0.3612 0.0000
10 H 0.8612 0.7305 0.5000
11 O 0.2428 0.7572 0.0000
12 O 0.2572 0.2572 0.5000
13 O 0.7428 0.7428 0.5000
14 O 0.7572 0.2428 0.0000

=====

(8)
VASP calculation (PBE) on a relaxed AgH6O4 crystal.

As for the total energy: -4.08 eV/atom.

Cell: 5.0538 5.0538 5.0538 Å, 114.55 114.55 99.73°
Atoms (fractional coordinates):
1 Ag 0.0000 0.0000 0.0000
2 H 0.0000 0.5000 0.5000
3 H 0.2210 0.2210 0.6358
4 H 0.4148 0.7790 0.0000
5 H 0.5000 0.0000 0.5000
6 H 0.5852 0.5852 0.3642
7 H 0.7790 0.4148 0.0000
8 O 0.2251 0.6961 0.0000
9 O 0.3039 0.3039 0.5290
10 O 0.6961 0.2251 0.0000
11 O 0.7749 0.7749 0.4710

=====

(9)
VASP calculation (PBE) on a relaxed AgHO crystal.

The energy above the most stable polymorph in this dataset comes out at 0.1302 eV per atom.

Cell: 4.2966 4.2966 4.2966 Å, 133.36 133.36 68.08°
Atoms (fractional coordinates):
1 Ag 0.0000 0.0000 0.0000
2 H 0.3328 0.3328 0.0000
3 O 0.4713 0.4713 0.0000

=====

(10)
VASP calculation (PBE) on a relaxed AgHO2 crystal.

As for the total energy: -3.19 eV/atom.

Cell: 5.9054 5.9054 5.9054 Å, 26.79 26.79 26.79°
Atoms (fractional coordinates):
1 Ag 0.0000 0.0000 0.0000
2 H 0.5000 0.5000 0.5000
3 O 0.1163 0.1163 0.1163
4 O 0.8837 0.8837 0.8837

=====

(11)
VASP calculation (PBE) on a relaxed AgH2O2 crystal.

As for the total energy: -4.43 eV/atom.

Cell: 3.6914 3.6914 5.9209 Å, 112.91 112.91 54.85°
Atoms (fractional coordinates):
1 Ag 0.0000 0.0000 0.0000
2 H 0.2287 0.2287 0.6295
3 H 0.7713 0.7713 0.3705
4 O 0.3888 0.3888 0.7519
5 O 0.6112 0.6112 0.2481

=====

(12)
VASP calculation (PBE) on a relaxed Ag3HO3 crystal.

As for the total energy: -3.78 eV/atom.

Cell: 6.7001 6.7001 4.4103 Å, 90.00 90.00 120.00°
Atoms (fractional coordinates):
1 Ag 0.1274 0.3888 0.2500
2 Ag 0.2614 0.8726 0.2500
3 Ag 0.3888 0.2614 0.7500
4 Ag 0.6112 0.7386 0.2500
5 Ag 0.7386 0.1274 0.7500
6 Ag 0.8726 0.6112 0.7500
7 H 0.3333 0.6667 0.7500
8 H 0.6667 0.3333 0.2500
9 O 0.1504 0.4209 0.7500
10 O 0.2705 0.8496 0.7500
11 O 0.4209 0.2705 0.2500
12 O 0.5791 0.7295 0.7500
13 O 0.7295 0.1504 0.2500
14 O 0.8496 0.5791 0.2500